Computed, not measured: an optimized crystal structure of Pm2TeP at the GGA-PBE level of DFT.

abc: 4.213 6.074 8.827
angles: 90.00 90.00 90.00
Atoms (fractional coordinates):
Pm  0.000  0.500  0.332
Pm  0.500  0.000  0.104
Pm  0.000  0.500  0.896
Pm  0.500  0.000  0.668
P  0.000  0.000  0.882
P  0.500  0.500  0.118
Te  0.000  0.000  0.384
Te  0.500  0.500  0.616

Computed properties:
Size of the total moment = 0.002 μB per atom
V = 113 Å³/f.u.
E_tot = -48.54 eV/cell
Crystal system = orthorhombic